# MnZn2Re (GGA-PBE, optimized geometry)
data_MnZn2Re
_symmetry_space_group_name_H-M 'R 3 m'
_symmetry_Int_Tables_number 160
_symmetry_space_group_name_Hall 'R 3 -2"'
_cell_length_a 2.7003
_cell_length_b 2.7003
_cell_length_c 26.6326
_cell_angle_alpha 90.00
_cell_angle_beta 90.00
_cell_angle_gamma 120.00
loop_
_atom_site_label
_atom_site_type_symbol
_atom_site_fract_x
_atom_site_fract_y
_atom_site_fract_z
Mn1 Mn 0.0000 0.0000 0.0000
Zn1 Zn 0.0000 0.0000 0.2537
Zn2 Zn 0.0000 0.0000 0.4945
Re1 Re 0.0000 0.0000 0.7402
# Total moment in μB per atom: 0.000
# Calculated formation energy in eV per atom: 0.112
# Polymorph energy (0 for the lowest one) in meV/atom: 56